VASP calculation (GGA-PBE) on Tl3PdW after structural relaxation.

a b c (Å): 5.3406 5.3406 5.3406
angles (deg): 90.00 90.00 90.00
Closest atoms and distances in Å follow each position.
Space group Pm-3m (No. 221)
Asymmetric unit:
1 Tl 0.0000 0.0000 0.5000  2 W 2.67
2 Pd 0.5000 0.5000 0.5000  12 Tl 3.78
3 W 0.0000 0.0000 0.0000  6 Tl 2.67

Properties
The electronic total energy is -19.76 eV for the cell shown. As for the energy relative to the elements: 1.098 eV per atom. As for the energy above the most stable polymorph in this dataset: 0.0 meV/atom.


VASP calculation (GGA-PBE) on CaMnP2Pb after structural relaxation.

a b c (Å): 5.4508 5.4508 5.1253
angles (deg): 90.00 90.00 90.00
Closest atoms and distances in Å follow each position.
Space group P4/mmm (No. 123)
Asymmetric unit:
1 Ca 0.0000 0.0000 0.0000  8 P 3.74, 4 Mn 3.85
2 Mn 0.5000 0.5000 0.0000  2 Pb 2.56
3 P 0.0000 0.5000 0.5000  2 Pb 2.73
4 Pb 0.5000 0.5000 0.5000  2 Mn 2.56, 4 P 2.73

Properties
The electronic total energy is -19.91 eV for the cell shown. As for the energy relative to the elements: 1.158 eV per atom. As for the energy above the most stable polymorph in this dataset: 0.0 meV/atom.


VASP calculation (GGA-PBE) on CuAs2IBr after structural relaxation.

a b c (Å): 4.9581 4.9581 4.8531
angles (deg): 90.00 90.00 90.00
Closest atoms and distances in Å follow each position.
Space group P4/mmm (No. 123)
Asymmetric unit:
1 Cu 0.0000 0.0000 0.0000  2 Br 2.43, 4 As 2.48
2 As 0.0000 0.5000 0.0000  2 Cu 2.48
3 I 0.5000 0.5000 0.5000  8 As 3.47, 4 Br 3.51
4 Br 0.0000 0.0000 0.5000  2 Cu 2.43

Properties
The electronic total energy is -14.16 eV for the cell shown. As for the energy above the most stable polymorph in this dataset: 0.0 meV/atom.


VASP calculation (GGA-PBE) on SiWSe3 after structural relaxation.

a b c (Å): 4.7369 4.7369 4.7369
angles (deg): 90.00 90.00 90.00
Closest atoms and distances in Å follow each position.
Space group Pm-3m (No. 221)
Asymmetric unit:
1 Si 0.0000 0.0000 0.0000  6 Se 2.37
2 W 0.5000 0.5000 0.5000  12 Se 3.35
3 Se 0.0000 0.0000 0.5000  2 Si 2.37

Properties
The electronic total energy is -23.47 eV for the cell shown. As for the energy above the most stable polymorph in this dataset: 439.5 meV/atom.